First-principles (PBE) data for crystalline CsTaGa at its relaxed geometry, as listed in OQMD.

Space group = F-43m
Crystal system = cubic
Total energy = -10.7 eV per formula unit

a b c (Å): 4.9420 4.9420 4.9420
angles (deg): 60.00 60.00 60.00
Last column: nearest neighbours and their distance in Å.
Fractional coordinates of all 3 atoms:
Cs  0.0000  0.0000  0.0000  4 Ta 3.03
Ta  0.2500  0.2500  0.2500  4 Ga 3.03, 4 Cs 3.03
Ga  0.5000  0.5000  0.5000  4 Ta 3.03

=====

First-principles (PBE) data for crystalline NaPmTc at its relaxed geometry, as listed in OQMD.

Space group = F-43m
Crystal system = cubic
Total energy = -12.5 eV per formula unit

a b c (Å): 4.7422 4.7422 4.7422
angles (deg): 60.00 60.00 60.00
Last column: nearest neighbours and their distance in Å.
Fractional coordinates of all 3 atoms:
Na  0.0000  0.0000  0.0000  4 Pm 2.90, 4 Tc 2.90
Pm  0.7500  0.7500  0.7500  4 Na 2.90
Tc  0.2500  0.2500  0.2500  4 Na 2.90

=====

First-principles (PBE) data for crystalline ZrBeAg at its relaxed geometry, as listed in OQMD.

Space group = Cmcm
Crystal system = orthorhombic
Total energy = -15.6 eV per formula unit

a b c (Å): 7.9710 7.9710 3.7452
angles (deg): 90.00 90.00 155.93
Last column: nearest neighbours and their distance in Å.
Fractional coordinates of all 6 atoms:
Zr  0.0972  0.9028  0.7500  6 Be 2.65-2.68
Zr  0.9028  0.0972  0.2500  6 Be 2.65-2.68
Be  0.4647  0.5353  0.7500  2 Be 2.17
Be  0.5353  0.4647  0.2500  2 Be 2.17
Ag  0.2974  0.7026  0.7500  1 Be 2.61, 4 Ag 2.91
Ag  0.7026  0.2974  0.2500  1 Be 2.61, 4 Ag 2.91

=====

First-principles (PBE) data for crystalline Zr4Tl3W2N3 at its relaxed geometry, as listed in OQMD.

Space group = C2/c
Crystal system = monoclinic
Total energy = -98.3 eV per formula unit

a b c (Å): 5.8271 5.8271 14.3542
angles (deg): 101.46 101.46 59.94
Last column: nearest neighbours and their distance in Å.
Fractional coordinates of all 24 atoms:
Zr  0.0190  0.2030  0.0831  3 N 2.24-2.26
Zr  0.1489  0.3036  0.4168  3 N 2.23-2.26
Zr  0.2030  0.0190  0.5831  3 N 2.24-2.26
Zr  0.3036  0.1489  0.9168  3 N 2.23-2.26
Zr  0.6964  0.8511  0.0832  3 N 2.23-2.26
Zr  0.7970  0.9810  0.4169  3 N 2.24-2.26
Zr  0.8511  0.6964  0.5832  3 N 2.23-2.26
Zr  0.9810  0.7970  0.9169  3 N 2.24-2.26
Tl  0.1030  0.8970  0.2500  4 Zr 3.08-3.09, 2 Tl 3.16, 2 W 3.16
Tl  0.2707  0.4154  0.7478  4 Zr 3.06-3.08, 2 W 3.12-3.13, 2 Tl 3.16
Tl  0.4154  0.2707  0.2478  4 Zr 3.06-3.08, 2 W 3.12-3.13, 2 Tl 3.16
Tl  0.5846  0.7293  0.7522  4 Zr 3.06-3.08, 2 W 3.12-3.13, 2 Tl 3.16
Tl  0.7293  0.5846  0.2522  4 Zr 3.06-3.08, 2 W 3.12-3.13, 2 Tl 3.16
Tl  0.8970  0.1030  0.7500  4 Zr 3.08-3.09, 2 Tl 3.16, 2 W 3.16
W  0.3673  0.5219  0.0671  3 N 2.17-2.22
W  0.4781  0.6327  0.4329  3 N 2.17-2.22
W  0.5219  0.3673  0.5671  3 N 2.17-2.22
W  0.6327  0.4781  0.9329  3 N 2.17-2.22
N  0.0000  0.5000  0.0000  2 W 2.22, 4 Zr 2.23-2.24
N  0.1554  0.6715  0.5000  2 W 2.17, 4 Zr 2.25-2.26
N  0.3285  0.8446  0.0000  2 W 2.17, 4 Zr 2.25-2.26
N  0.5000  0.0000  0.5000  2 W 2.22, 4 Zr 2.23-2.24
N  0.6715  0.1554  0.0000  2 W 2.17, 4 Zr 2.25-2.26
N  0.8446  0.3285  0.5000  2 W 2.17, 4 Zr 2.25-2.26

=====

First-principles (PBE) data for crystalline Pm2AlPd6 at its relaxed geometry, as listed in OQMD.

Space group = P-3m1
Crystal system = trigonal
Total energy = -52.0 eV per formula unit

a b c (Å): 5.7797 5.7797 5.7674
angles (deg): 90.00 90.00 120.00
Last column: nearest neighbours and their distance in Å.
Fractional coordinates of all 9 atoms:
Pm  0.3333  0.6667  0.3113  9 Pd 2.97-3.28
Pm  0.6667  0.3333  0.6887  9 Pd 2.97-3.28
Al  0.0000  0.0000  0.5000  6 Pd 2.47
Pd  0.1720  0.3440  0.8059  1 Al 2.47
Pd  0.1720  0.8280  0.8059  1 Al 2.47
Pd  0.3440  0.1720  0.1941  1 Al 2.47
Pd  0.6560  0.8280  0.8059  1 Al 2.47
Pd  0.8280  0.1720  0.1941  1 Al 2.47
Pd  0.8280  0.6560  0.1941  1 Al 2.47

=====

First-principles (PBE) data for crystalline AsIr2 at its relaxed geometry, as listed in OQMD.

Space group = Fd-3m
Crystal system = cubic
Total energy = -15.1 eV per formula unit

a b c (Å): 7.5239 7.5239 7.5239
angles (deg): 60.00 60.00 60.00
Last column: nearest neighbours and their distance in Å.
Fractional coordinates of all 6 atoms:
As  0.1250  0.1250  0.1250  4 Ir 2.30
As  0.8750  0.8750  0.8750  4 Ir 2.30
Ir  0.0000  0.0000  0.0000  2 As 2.30
Ir  0.0000  0.0000  0.5000  2 As 2.30
Ir  0.0000  0.5000  0.0000  2 As 2.30
Ir  0.5000  0.0000  0.0000  2 As 2.30

=====

First-principles (PBE) data for crystalline Ac4Tm4O11 at its relaxed geometry, as listed in OQMD.

Space group = Pm
Crystal system = monoclinic
Total energy = -152.6 eV per formula unit

a b c (Å): 5.9626 8.4794 6.0841
angles (deg): 90.00 90.12 90.00
Last column: nearest neighbours and their distance in Å.
Fractional coordinates of all 19 atoms:
Ac  0.0000  0.0000  0.0000  4 O 2.47-2.60
Ac  0.0138  0.5000  0.0710  3 O 2.45-2.48
Ac  0.4777  0.5000  0.5909  3 O 2.45-2.63
Ac  0.5184  0.0000  0.5032  4 O 2.47-2.60
Tm  0.0073  0.2488  0.5434  5 O 2.19-2.24
Tm  0.0073  0.7512  0.5434  5 O 2.19-2.24
Tm  0.5097  0.2492  0.0473  6 O 2.21-2.24
Tm  0.5097  0.7508  0.0473  6 O 2.21-2.24
O  0.1137  0.0000  0.5876  2 Tm 2.22, 1 Ac 2.47
O  0.2095  0.2994  0.8459  2 Tm 2.21-2.24
O  0.2095  0.7006  0.8459  2 Tm 2.21-2.24
O  0.3098  0.3019  0.3474  2 Tm 2.21-2.23, 1 Ac 2.45
O  0.3098  0.6981  0.3474  2 Tm 2.21-2.23, 1 Ac 2.45
O  0.4038  0.0000  0.0899  2 Tm 2.22, 1 Ac 2.47
O  0.6081  0.5000  0.0048  2 Tm 2.22, 1 Ac 2.45
O  0.7113  0.1921  0.7482  2 Tm 2.22-2.24
O  0.7113  0.8079  0.7482  2 Tm 2.22-2.24
O  0.8110  0.1956  0.2475  2 Tm 2.19-2.22
O  0.8110  0.8044  0.2475  2 Tm 2.19-2.22

=====

First-principles (PBE) data for crystalline GdAlZnNi at its relaxed geometry, as listed in OQMD.

Space group = Amm2
Crystal system = orthorhombic
Total energy = -17.3 eV per formula unit

a b c (Å): 7.0951 5.2704 5.2704
angles (deg): 45.71 90.00 90.00
Last column: nearest neighbours and their distance in Å.
Fractional coordinates of all 8 atoms:
Gd  0.0000  0.0000  0.0000  3 Ni 2.79-2.91, 2 Zn 3.12, 4 Al 3.12
Gd  0.5000  0.1226  0.1226  1 Ni 2.67
Al  0.3058  0.4050  0.4050  3 Ni 2.45-2.53
Al  0.6942  0.4050  0.4050  3 Ni 2.45-2.53
Zn  0.1940  0.7116  0.7116  3 Ni 2.54-2.57, 1 Zn 2.75
Zn  0.8060  0.7116  0.7116  3 Ni 2.54-2.57, 1 Zn 2.75
Ni  0.0000  0.2875  0.2875  2 Al 2.45, 4 Zn 2.57
Ni  0.5000  0.8477  0.8477  4 Al 2.53, 2 Zn 2.54, 1 Gd 2.67

=====

First-principles (PBE) data for crystalline LiCu3PdSe4 at its relaxed geometry, as listed in OQMD.

Space group = P-43m
Crystal system = cubic
Total energy = -34.3 eV per formula unit

a b c (Å): 5.6697 5.6697 5.6697
angles (deg): 90.00 90.00 90.00
Last column: nearest neighbours and their distance in Å.
Fractional coordinates of all 9 atoms:
Li  0.0000  0.0000  0.0000  4 Se 2.42
Cu  0.0000  0.5000  0.5000  4 Se 2.47
Cu  0.5000  0.0000  0.5000  4 Se 2.47
Cu  0.5000  0.5000  0.0000  4 Se 2.47
Pd  0.5000  0.5000  0.5000  4 Se 2.49
Se  0.2466  0.2466  0.2466  1 Li 2.42, 3 Cu 2.47, 1 Pd 2.49
Se  0.2466  0.7534  0.7534  1 Li 2.42, 3 Cu 2.47, 1 Pd 2.49
Se  0.7534  0.2466  0.7534  1 Li 2.42, 3 Cu 2.47, 1 Pd 2.49
Se  0.7534  0.7534  0.2466  1 Li 2.42, 3 Cu 2.47, 1 Pd 2.49

=====

First-principles (PBE) data for crystalline GdInNiSe3 at its relaxed geometry, as listed in OQMD.

Space group = Cmcm
Crystal system = orthorhombic
Total energy = -28.7 eV per formula unit

a b c (Å): 7.3589 7.3589 10.5980
angles (deg): 90.00 90.00 149.61
Last column: nearest neighbours and their distance in Å.
Fractional coordinates of all 12 atoms:
Gd  0.0000  0.0000  0.0000  6 Se 2.87-2.88
Gd  0.0000  0.0000  0.5000  6 Se 2.87-2.88
In  0.2457  0.7543  0.7500  6 Se 3.05-3.15
In  0.7543  0.2457  0.2500  6 Se 3.05-3.15
Ni  0.4766  0.5234  0.2500  4 Se 2.41
Ni  0.5234  0.4766  0.7500  4 Se 2.41
Se  0.0788  0.9212  0.2500  2 Ni 2.41
Se  0.3629  0.6371  0.0813  1 Ni 2.41
Se  0.3629  0.6371  0.4187  1 Ni 2.41
Se  0.6371  0.3629  0.5813  1 Ni 2.41
Se  0.6371  0.3629  0.9187  1 Ni 2.41
Se  0.9212  0.0788  0.7500  2 Ni 2.41